# 1
Crystalline Ti4Al5Pd at its relaxed geometry, computed with PBE.

abc: 2.859 2.859 19.430
angles: 90.00 90.00 90.00
Fractional positions:
Ti 0.000 0.000 0.104
Ti 0.000 0.000 0.310
Ti 0.000 0.000 0.690
Ti 0.000 0.000 0.896
Al 0.500 0.500 0.000
Al 0.500 0.500 0.206
Al 0.500 0.500 0.411
Al 0.500 0.500 0.589
Al 0.500 0.500 0.794
Pd 0.000 0.000 0.500

- energy of formation (eV per atom) = -0.503


# 2
Crystalline Tl3CuCl6 at its relaxed geometry, computed with PBE.

abc: 9.590 9.590 7.194
angles: 90.00 90.00 106.66
Fractional positions:
Tl 0.112 0.888 0.500
Tl 0.184 0.416 0.524
Tl 0.416 0.184 0.024
Tl 0.584 0.816 0.524
Tl 0.816 0.584 0.024
Tl 0.888 0.112 0.000
Cu 0.325 0.675 0.084
Cu 0.675 0.325 0.584
Cl 0.090 0.575 0.192
Cl 0.169 0.181 0.266
Cl 0.181 0.169 0.766
Cl 0.313 0.687 0.773
Cl 0.425 0.910 0.192
Cl 0.441 0.559 0.271
Cl 0.559 0.441 0.771
Cl 0.575 0.090 0.692
Cl 0.687 0.313 0.273
Cl 0.819 0.831 0.266
Cl 0.831 0.819 0.766
Cl 0.910 0.425 0.692

- formation energy (no corrections) (kJ/mol of formula units) = -708


# 3
Crystalline Rb2GaCuF6 at its relaxed geometry, computed with PBE.

abc: 5.999 5.999 5.999
angles: 115.31 115.31 98.34
Fractional positions:
Rb 0.250 0.750 0.500
Rb 0.750 0.250 0.500
Ga 0.000 0.000 0.000
Cu 0.500 0.500 0.000
F 0.210 0.210 0.419
F 0.210 0.790 0.000
F 0.256 0.256 0.000
F 0.744 0.744 0.000
F 0.790 0.210 0.000
F 0.790 0.790 0.581

- formation energy (no corrections) (kJ/mol of formula units) = -2333


# 4
Crystalline BeZnSe2 at its relaxed geometry, computed with PBE.

abc: 3.761 3.761 6.343
angles: 106.55 106.55 56.35
Fractional positions:
Be 0.000 0.000 0.000
Zn 0.500 0.500 0.500
Se 0.300 0.300 0.773
Se 0.700 0.700 0.227

- formation energy (no corrections) (kJ/mol of formula units) = -126


# 5
Crystalline Sr2FeRh at its relaxed geometry, computed with PBE.

abc: 3.575 3.609 7.898
angles: 90.00 90.00 90.00
Fractional positions:
Sr 0.000 0.000 0.230
Sr 0.000 0.000 0.770
Fe 0.500 0.500 0.500
Rh 0.500 0.500 0.000

- energy of formation (eV per atom) = 0.378


# 6
Crystalline SbPOs at its relaxed geometry, computed with PBE.

abc: 6.238 6.238 6.321
angles: 90.00 110.73 90.00
Fractional positions:
Sb 0.149 0.120 0.365
Sb 0.149 0.380 0.865
Sb 0.851 0.620 0.135
Sb 0.851 0.880 0.635
P 0.353 0.646 0.668
P 0.353 0.854 0.168
P 0.647 0.146 0.832
P 0.647 0.354 0.332
Os 0.302 0.518 0.308
Os 0.302 0.982 0.808
Os 0.698 0.018 0.192
Os 0.698 0.482 0.692

- formation energy (no corrections) (kJ/mol of formula units) = -59


# 7
Crystalline Ac2SmBi at its relaxed geometry, computed with PBE.

abc: 13.209 13.209 13.209
angles: 16.52 16.52 16.52
Fractional positions:
Ac 0.087 0.087 0.087
Ac 0.913 0.913 0.913
Sm 0.500 0.500 0.500
Bi 0.000 0.000 0.000

- energy of formation (eV per atom) = 0.069


# 8
Crystalline IrBr at its relaxed geometry, computed with PBE.

abc: 11.777 11.777 3.595
angles: 90.00 90.00 90.00
Fractional positions:
Ir 0.010 0.333 0.000
Ir 0.081 0.559 0.500
Ir 0.333 0.990 0.000
Ir 0.441 0.081 0.500
Ir 0.559 0.919 0.500
Ir 0.667 0.010 0.000
Ir 0.919 0.441 0.500
Ir 0.990 0.667 0.000
Br 0.107 0.222 0.500
Br 0.222 0.893 0.500
Br 0.246 0.558 0.000
Br 0.442 0.246 0.000
Br 0.558 0.754 0.000
Br 0.754 0.442 0.000
Br 0.778 0.107 0.500
Br 0.893 0.778 0.500

- formation energy (no corrections) (kJ/mol of formula units) = 96


Please write out number 2 again, unchanged.
Crystalline Tl3CuCl6 at its relaxed geometry, computed with PBE.

abc: 9.590 9.590 7.194
angles: 90.00 90.00 106.66
Fractional positions:
Tl 0.112 0.888 0.500
Tl 0.184 0.416 0.524
Tl 0.416 0.184 0.024
Tl 0.584 0.816 0.524
Tl 0.816 0.584 0.024
Tl 0.888 0.112 0.000
Cu 0.325 0.675 0.084
Cu 0.675 0.325 0.584
Cl 0.090 0.575 0.192
Cl 0.169 0.181 0.266
Cl 0.181 0.169 0.766
Cl 0.313 0.687 0.773
Cl 0.425 0.910 0.192
Cl 0.441 0.559 0.271
Cl 0.559 0.441 0.771
Cl 0.575 0.090 0.692
Cl 0.687 0.313 0.273
Cl 0.819 0.831 0.266
Cl 0.831 0.819 0.766
Cl 0.910 0.425 0.692

- formation energy (no corrections) (kJ/mol of formula units) = -708


Q: Number 7 is which compound?
A: Ac2SmBi


Q: Which formula does entry 6 have?
A: SbPOs